# 1
BC2 after structural relaxation, computed with GGA-PBE.

Calculated volume (Å³ per cell): 78.71
Space group: Pm, No. 6
Offset from the most stable computed form (meV/atom): 129
DFT formation energy (eV per atom): 0.369
Size of the total moment (μB per formula unit): 0.00

The structure in extended XYZ format:
```
12
Lattice="-2.246 -1.132 -0.665 1.825 -1.221 -4.085 2.081 -5.631 2.555" Properties=species:S:1:pos:R:3 pbc="T T T"
B 1.059 -3.434 -2.818
B -0.207 -1.191 -2.363
B 2.781 -4.781 -1.253
B 1.650 -3.503 0.392
C 0.296 -2.610 -1.644
C 1.091 -5.922 1.309
C 1.256 -2.206 -0.485
C 0.501 -1.324 0.560
C 2.095 -5.637 2.519
C 3.183 -6.044 -0.462
C 0.604 -4.603 0.707
C 1.609 -4.847 -2.273
```

---

# 2
CaY2HgO after structural relaxation, computed with GGA-PBE.

Calculated volume (Å³ per cell): 110.34
Space group: P4/mmm, No. 123
Size of the total moment (μB per formula unit): 0.00

The structure in extended XYZ format:
```
5
Lattice="-1.254 -0.393 -4.624 -1.263 -4.580 0.732 -4.436 1.397 1.085" Properties=species:S:1:pos:R:3 pbc="T T T"
Y -0.632 -2.290 0.366
Y -0.627 -0.196 -2.312
Ca -2.218 0.698 0.542
Hg -3.477 -1.788 -1.404
O 0.000 0.000 0.000
```

---

# 3
ScV2Pd8 after structural relaxation, computed with GGA-PBE.

Calculated volume (Å³ per cell): 168.56
Space group: C2/m, No. 12
DFT formation energy (eV per atom): -0.416
Size of the total moment (μB per formula unit): 0.00

The structure in extended XYZ format:
```
11
Lattice="3.963 0.000 0.000 0.000 6.385 0.261 -1.981 -2.470 6.560" Properties=species:S:1:pos:R:3 pbc="T T T"
Sc 1.981 0.000 0.000
V 1.981 0.794 3.749
V 0.000 3.122 3.072
Pd 0.000 1.479 5.293
Pd 1.981 4.955 2.631
Pd 1.981 3.324 4.821
Pd 1.981 -0.503 6.060
Pd 0.000 0.591 2.000
Pd 0.000 -1.039 4.190
Pd 1.981 2.437 1.528
Pd 0.000 4.419 0.761
```

---

# 4
LiTiRuN2 after structural relaxation, computed with GGA-PBE.

Calculated volume (Å³ per cell): 74.35
Space group: P4/mmm, No. 123
Size of the total moment (μB per formula unit): 1.71

The structure in extended XYZ format:
```
5
Lattice="3.885 0.000 0.000 0.000 4.926 0.000 0.000 0.000 3.885" Properties=species:S:1:pos:R:3 pbc="T T T"
Ru 0.000 0.000 0.000
N 0.000 0.000 1.943
N 1.943 0.000 0.000
Li 1.943 2.463 1.943
Ti 0.000 2.463 0.000
```

---

# 5
Tb2Ho6Ru after structural relaxation, computed with GGA-PBE.

Calculated volume (Å³ per cell): 272.84
Space group: P2/m, No. 10
DFT formation energy (eV per atom): -0.065
Size of the total moment (μB per formula unit): 0.00

The structure in extended XYZ format:
```
9
Lattice="-1.093 -2.550 2.397 8.078 -0.793 2.841 -10.056 7.009 2.869" Properties=species:S:1:pos:R:3 pbc="T T T"
Tb 0.948 1.397 4.723
Tb -4.020 2.270 3.385
Ho -0.902 1.897 1.607
Ho -6.036 5.313 2.899
Ho -2.170 1.769 6.501
Ho 1.219 -1.140 2.148
Ho 2.965 -1.647 5.209
Ho -4.290 4.806 5.960
Ru 0.000 0.000 0.000
```

---

# 6
ThH8Rh2 after structural relaxation, computed with GGA-PBE.

Calculated volume (Å³ per cell): 98.95
Space group: P2/m, No. 10
Offset from the most stable computed form (meV/atom): 0
Size of the total moment (μB per formula unit): 0.00

The structure in extended XYZ format:
```
11
Lattice="-1.296 -3.029 -1.870 5.195 -1.272 -1.539 4.404 -3.562 2.714" Properties=species:S:1:pos:R:3 pbc="T T T"
Th -0.648 -1.515 -0.935
H 0.777 -4.168 -1.462
H 5.084 -3.091 1.481
H 2.084 -1.842 -1.508
H 5.486 -4.213 -0.816
H 2.817 -3.650 0.120
H 6.220 -6.021 0.813
H 3.220 -4.772 -2.177
H 7.527 -3.694 0.766
Rh 3.508 -2.189 1.112
Rh 4.795 -5.674 -1.808
```

---

# 7
Co2TcCl after structural relaxation, computed with GGA-PBE.

Calculated volume (Å³ per cell): 52.65
Space group: P4/mmm, No. 123
Offset from the most stable computed form (meV/atom): 92
Size of the total moment (μB per formula unit): 2.13

The structure in extended XYZ format:
```
4
Lattice="-2.742 -0.176 0.251 0.261 -0.156 2.742 -0.403 6.891 0.431" Properties=species:S:1:pos:R:3 pbc="T T T"
Co -0.001 0.022 0.001
Co -0.200 3.424 0.214
Tc -1.341 1.556 1.604
Cl -1.543 5.002 1.820
```

---

# 8
ZnInNi after structural relaxation, computed with GGA-PBE.

Calculated volume (Å³ per cell): 50.41
Space group: P3m1, No. 156
DFT formation energy (eV per atom): 0.121
Size of the total moment (μB per formula unit): 0.00

The structure in extended XYZ format:
```
3
Lattice="3.029 0.000 0.000 -1.515 2.623 0.000 0.000 0.000 6.344" Properties=species:S:1:pos:R:3 pbc="T T T"
In 0.000 0.000 0.151
Ni 1.515 0.874 2.206
Zn 0.000 1.749 3.987
```

---

# 9
BaU4Au3Se12 after structural relaxation, computed with GGA-PBE.

Calculated volume (Å³ per cell): 558.18
Space group: Im-3, No. 204
Size of the total moment (μB per formula unit): 4.90

The structure in extended XYZ format:
```
20
Lattice="8.984 0.000 0.000 -2.995 8.470 0.000 -2.995 -4.235 7.335" Properties=species:S:1:pos:R:3 pbc="T T T"
Ba 0.000 0.000 0.000
U 4.492 0.000 0.000
U 1.497 2.118 3.668
U -1.497 4.235 0.000
U -1.497 -2.118 3.668
Au -2.995 2.118 3.668
Au 2.995 4.235 0.000
Au 2.995 -2.118 3.668
Se -0.139 6.451 0.993
Se 3.134 -2.216 6.342
Se 2.184 4.809 3.838
Se 5.178 5.155 1.252
Se 6.129 -0.149 2.245
Se -0.811 2.742 2.245
Se 2.855 1.870 1.252
Se -3.134 4.384 5.090
Se 0.811 -0.574 3.497
Se -2.184 -0.920 6.083
Se 3.806 1.493 5.090
Se 0.139 2.365 6.083
```

---

# 10
SrAc2TcN4 after structural relaxation, computed with GGA-PBE.

Calculated volume (Å³ per cell): 308.35
Space group: Cmcm, No. 63
Size of the total moment (μB per formula unit): 1.02

The structure in extended XYZ format:
```
16
Lattice="3.728 0.000 0.000 -1.864 6.451 0.000 0.000 0.000 12.821" Properties=species:S:1:pos:R:3 pbc="T T T"
Sr 0.000 1.529 9.616
Sr 1.864 4.922 3.205
Ac 0.000 4.757 6.908
Ac 1.864 1.693 0.498
Ac 1.864 1.693 5.913
Ac 0.000 4.757 12.323
Tc 1.864 4.299 9.616
Tc 0.000 2.152 3.205
N 0.000 3.404 1.724
N 1.864 3.047 8.135
N 1.864 3.047 11.096
N 0.000 3.404 4.686
N 0.000 0.000 6.410
N 0.000 0.000 0.000
N 0.000 5.088 9.616
N 1.864 1.362 3.205
```

---

# 11
FeMo4W after structural relaxation, computed with GGA-PBE.

Calculated volume (Å³ per cell): 97.74
Space group: F-43m, No. 216
DFT formation energy (eV per atom): 0.448
Size of the total moment (μB per formula unit): 3.54

The structure in extended XYZ format:
```
6
Lattice="0.000 3.656 3.656 3.656 0.000 3.656 3.656 3.656 0.000" Properties=species:S:1:pos:R:3 pbc="T T T"
Fe 0.000 0.000 0.000
Mo 2.739 4.573 4.573
Mo 4.573 4.573 2.739
Mo 4.573 2.739 4.573
Mo 2.739 2.739 2.739
W 5.484 5.484 5.484
```

---

# 12
PrNiAu11 after structural relaxation, computed with GGA-PBE.

Calculated volume (Å³ per cell): 250.29
Space group: C2/m, No. 12
DFT formation energy (eV per atom): -0.193
Size of the total moment (μB per formula unit): 0.00

The structure in extended XYZ format:
```
13
Lattice="-3.300 4.206 -1.412 -7.000 -1.530 0.784 -1.438 4.421 5.706" Properties=species:S:1:pos:R:3 pbc="T T T"
Pr 0.000 0.000 0.000
Ni -5.150 1.338 -0.314
Au -2.803 1.845 0.940
Au -8.936 5.252 4.138
Au -7.409 1.799 1.109
Au -4.330 5.298 3.969
Au -6.661 3.480 3.787
Au -5.078 3.617 1.291
Au -6.658 6.485 2.701
Au -5.081 0.612 2.377
Au -3.500 -0.765 0.392
Au -2.369 4.313 2.147
Au -0.719 2.210 2.853
```

---

Number 1: total energy -8.01 eV/atom. Number 2: total energy -5.41 eV/atom. Number 3: total energy -6.43 eV/atom. Number 4: total energy -6.20 eV/atom. Number 5: total energy -5.18 eV/atom. Number 6: total energy -4.65 eV/atom. Number 7: total energy -6.22 eV/atom. Number 8: total energy -3.14 eV/atom. Number 9: total energy -5.76 eV/atom. Number 10: total energy -7.34 eV/atom. Number 11: total energy -10.34 eV/atom. Number 12: total energy -3.78 eV/atom.